A plane-wave DFT calculation with PBE was carried out for a relaxed structure of LiMg2Ag6.

```
data_LiMg2Ag6
_chemical_formula_sum 'Li2 Mg4 Ag12'
_cell_length_a 5.011
_cell_length_b 7.677
_cell_length_c 9.036
_cell_angle_alpha 72.88
_cell_angle_beta 74.92
_cell_angle_gamma 88.64
_symmetry_space_group_name_H-M 'P -1'
_symmetry_Int_Tables_number 2
loop_
_symmetry_equiv_pos_as_xyz
'x,y,z'
'-x,-y,-z'
loop_
_atom_site_label
_atom_site_type_symbol
_atom_site_fract_x
_atom_site_fract_y
_atom_site_fract_z
_atom_site_occupancy
Li1 Li 0.226 0.130 0.387 1
Mg1 Mg 0.099 0.201 0.950 1
Mg2 Mg 0.429 0.525 0.285 1
Ag1 Ag 0.011 0.588 0.827 1
Ag2 Ag 0.114 0.356 0.612 1
Ag3 Ag 0.224 0.975 0.718 1
Ag4 Ag 0.329 0.753 0.501 1
Ag5 Ag 0.337 0.919 0.165 1
Ag6 Ag 0.454 0.692 0.944 1
```

## Properties
Excess energy over the best structure of this formula in the dataset = 0.000 eV/atom
E_tot = -2.63 eV/atom
Formation energy = -1.49 eV/f.u.
Crystal system = triclinic
V = 17.792 Å³ per atom